An optimized crystal structure of CoMo2Br2. Source: the Alexandria database, functional PBE.

Lattice parameters (Å, degrees): 4.2829 4.2829 6.2092 69.82 69.82 90.00
Sites, in units of the cell vectors:
1 Mo 0.7500 0.2500 0.5000
2 Mo 0.2500 0.7500 0.5000
3 Co 0.0000 0.0000 0.0000
4 Br 0.3701 0.3701 0.2599
5 Br 0.6299 0.6299 0.7401

Properties
Distance to the lowest polymorph of the same formula = 17 meV per atom
Symmetry = I4/mmm, No. 139
Electronic total energy = -25.82 eV/cell

***

An optimized crystal structure of HgSe2BrCl. Source: the Alexandria database, functional PBE.

Lattice parameters (Å, degrees): 5.1035 5.1035 5.2686 90.00 90.00 90.00
Sites, in units of the cell vectors:
1 Se 0.0000 0.5000 0.0000
2 Se 0.5000 0.0000 0.0000
3 Hg 0.5000 0.5000 0.5000
4 Br 0.0000 0.0000 0.5000
5 Cl 0.0000 0.0000 0.0000

Properties
Distance to the lowest polymorph of the same formula = 101 meV per atom
Symmetry = P4/mmm, No. 123
Electronic total energy = -7.29 eV/cell

***

An optimized crystal structure of CaSmSc2Se4. Source: the Alexandria database, functional PBE.

Lattice parameters (Å, degrees): 3.9967 6.9813 6.9852 70.96 90.00 90.00
Sites, in units of the cell vectors:
1 Ca 0.0000 0.5000 0.5000
2 Sm 0.5000 0.5000 0.0000
3 Sc 0.0000 0.0000 0.0000
4 Sc 0.5000 0.0000 0.5000
5 Se 0.0000 0.7707 0.7401
6 Se 0.0000 0.2293 0.2599
7 Se 0.5000 0.7694 0.2459
8 Se 0.5000 0.2306 0.7541

Properties
Symmetry = P2/m, No. 10
Electronic total energy = -47.18 eV/cell

***

An optimized crystal structure of BaCaB. Source: the Alexandria database, functional PBE.

Lattice parameters (Å, degrees): 6.3573 4.4559 14.9634 90.00 90.00 90.00
Sites, in units of the cell vectors:
1 Ca 0.0000 0.0000 0.0659
2 Ca 0.0000 0.5000 0.5659
3 Ca 0.5000 0.0000 0.3838
4 Ca 0.5000 0.5000 0.8838
5 B 0.1233 0.0000 0.4754
6 B 0.8767 0.0000 0.4754
7 B 0.1233 0.5000 0.9754
8 B 0.8767 0.5000 0.9754
9 Ba 0.5000 0.0000 0.6211
10 Ba 0.5000 0.5000 0.1211
11 Ba 0.0000 0.0000 0.8278
12 Ba 0.0000 0.5000 0.3278

Properties
Distance to the lowest polymorph of the same formula = 39 meV per atom
Symmetry = Amm2, No. 38
Formation energy from the elements = 0.192 eV/atom
Electronic total energy = -40.11 eV/cell

***

An optimized crystal structure of NaSr2BiS4. Source: the Alexandria database, functional PBE.

Lattice parameters (Å, degrees): 8.3493 8.3493 8.4588 120.43 120.43 89.31
Sites, in units of the cell vectors:
1 Na 0.0000 0.5000 0.0000
2 Na 0.0000 0.5000 0.5000
3 Sr 0.5000 0.0000 0.0000
4 Sr 0.5000 0.0000 0.5000
5 Sr 0.0000 0.0000 0.5000
6 Sr 0.5000 0.5000 0.0000
7 Bi 0.5000 0.5000 0.5000
8 Bi 0.0000 0.0000 0.0000
9 S 0.2439 0.7566 0.0003
10 S 0.7434 0.2561 0.4997
11 S 0.2566 0.7439 0.5003
12 S 0.7561 0.2434 0.9997
13 S 0.7529 0.7473 0.9889
14 S 0.7527 0.7471 0.5111
15 S 0.2473 0.2529 0.4889
16 S 0.2471 0.2527 0.0111

Properties
Symmetry = Imma, No. 74
Electronic total energy = -72.62 eV/cell

***

An optimized crystal structure of CuHAu2. Source: the Alexandria database, functional PBE.

Lattice parameters (Å, degrees): 6.2369 6.2369 5.1917 53.08 53.08 90.00
Sites, in units of the cell vectors:
1 H 0.5000 0.5000 0.0000
2 H 0.2500 0.7500 0.5000
3 Au 0.5382 0.1250 0.2500
4 Au 0.2118 0.6250 0.2500
5 Au 0.3750 0.4618 0.7500
6 Au 0.8750 0.7882 0.7500
7 Cu 0.0000 0.0000 0.0000
8 Cu 0.7500 0.2500 0.5000

Properties
Distance to the lowest polymorph of the same formula = 0 meV per atom
Symmetry = I-42d, No. 122
Electronic total energy = -26.29 eV/cell

***

An optimized crystal structure of CeBeAl. Source: the Alexandria database, functional PBE.

Lattice parameters (Å, degrees): 4.7727 4.7727 5.7508 103.66 103.66 115.52
Sites, in units of the cell vectors:
1 Ce 0.6777 0.3223 0.0000
2 Ce 0.3223 0.6777 0.0000
3 Al 0.8223 0.8223 0.6447
4 Al 0.1777 0.1777 0.3553
5 Be 0.7500 0.2500 0.5000
6 Be 0.2500 0.7500 0.5000

Properties
Distance to the lowest polymorph of the same formula = 97 meV per atom
Symmetry = Fmmm, No. 69
Formation energy from the elements = -0.011 eV/atom
Electronic total energy = -26.87 eV/cell

***

An optimized crystal structure of ScCrRh14. Source: the Alexandria database, functional PBE.

Lattice parameters (Å, degrees): 5.4367 5.4367 7.7605 90.00 90.00 90.00
Sites, in units of the cell vectors:
1 Sc 0.8750 0.1250 0.0000
2 Cr 0.3750 0.6250 0.0000
3 Rh 0.3750 0.6250 0.5000
4 Rh 0.8749 0.1251 0.5000
5 Rh 0.8750 0.6250 0.0000
6 Rh 0.8749 0.6250 0.5000
7 Rh 0.3750 0.1250 0.0000
8 Rh 0.3750 0.1251 0.5000
9 Rh 0.6212 0.8712 0.7482
10 Rh 0.6212 0.8712 0.2518
11 Rh 0.1288 0.3788 0.7482
12 Rh 0.1288 0.3788 0.2518
13 Rh 0.1289 0.8711 0.7482
14 Rh 0.1289 0.8711 0.2518
15 Rh 0.6212 0.3788 0.7482
16 Rh 0.6212 0.3788 0.2518

Properties
Symmetry = P4/mmm, No. 123
Formation energy from the elements = -0.158 eV/atom
Electronic total energy = -121.40 eV/cell

***

An optimized crystal structure of Ba2Sn4IrRh3. Source: the Alexandria database, functional PBE.

Lattice parameters (Å, degrees): 4.6628 4.6628 10.9685 90.00 90.00 90.00
Sites, in units of the cell vectors:
1 Ba 0.5000 0.0000 0.2556
2 Ba 0.0000 0.5000 0.7444
3 Sn 0.5000 0.5000 0.0000
4 Sn 0.0000 0.0000 0.0000
5 Sn 0.5000 0.0000 0.6227
6 Sn 0.0000 0.5000 0.3773
7 Ir 0.5000 0.5000 0.5000
8 Rh 0.0000 0.0000 0.5000
9 Rh 0.5000 0.0000 0.8740
10 Rh 0.0000 0.5000 0.1260

Properties
Symmetry = P-4m2, No. 115
Formation energy from the elements = -0.548 eV/atom
Electronic total energy = -56.25 eV/cell

***

An optimized crystal structure of Er3Al4Zn2. Source: the Alexandria database, functional PBE.

Lattice parameters (Å, degrees): 4.4818 5.6973 8.5402 111.90 90.00 113.16
Sites, in units of the cell vectors:
1 Er 0.6680 0.3361 0.6642
2 Er 0.0000 0.0000 0.0000
3 Er 0.3320 0.6639 0.3358
4 Al 0.7271 0.4543 0.0645
5 Al 0.2729 0.5457 0.9355
6 Al 0.9508 0.9016 0.6192
7 Al 0.0492 0.0984 0.3808
8 Zn 0.6097 0.2194 0.2776
9 Zn 0.3903 0.7806 0.7224

Properties
Symmetry = C2/m, No. 12
Formation energy from the elements = -0.463 eV/atom
Electronic total energy = -35.38 eV/cell

***

An optimized crystal structure of RbTlHg2. Source: the Alexandria database, functional PBE.

Lattice parameters (Å, degrees): 4.3692 5.6095 5.6095 90.00 90.00 90.00
Sites, in units of the cell vectors:
1 Tl 0.5000 0.5000 0.5000
2 Hg 0.0000 0.0000 0.5000
3 Hg 0.0000 0.5000 0.0000
4 Rb 0.5000 0.0000 0.0000

Properties
Distance to the lowest polymorph of the same formula = 51 meV per atom
Symmetry = P4/mmm, No. 123
Formation energy from the elements = -0.097 eV/atom
Electronic total energy = -4.33 eV/cell

***

An optimized crystal structure of K2CdGeP. Source: the Alexandria database, functional PBE.

Lattice parameters (Å, degrees): 6.3979 4.8012 6.3979 90.00 90.00 90.00
Sites, in units of the cell vectors:
1 P 0.0000 0.0000 0.0000
2 Ge 0.5000 0.5000 0.5000
3 K 0.0000 0.0000 0.5000
4 K 0.5000 0.0000 0.0000
5 Cd 0.0000 0.5000 0.0000

Properties
Symmetry = P4/mmm, No. 123
Formation energy from the elements = 0.250 eV/atom
Electronic total energy = -11.89 eV/cell

***

electronic total energy of number 8 (ScCrRh14)?
-121.40 eV/cell

***

electronic total energy of number 4 (BaCaB)?
-40.11 eV/cell

***

Which formula does entry 5 have?
NaSr2BiS4